Crystalline Zr5FePt2 at its relaxed geometry. Source: Alexandria via LeMat-Bulk, functional PBE-GGA.

```
Zr5FePt2
1.0
4.176 0.000 0.000
0.000 7.270 0.000
0.000 0.000 10.521
Zr Fe Pt
10 2 4
direct
0.500 0.680 0.421
0.000 0.354 0.294
0.500 0.320 0.579
0.000 0.500 0.000
0.000 0.646 0.706
0.000 0.146 0.794
0.500 0.180 0.079
0.000 0.854 0.206
0.500 0.820 0.921
0.000 0.000 0.500
0.000 0.500 0.500
0.000 0.000 0.000
0.500 0.569 0.166
0.500 0.069 0.334
0.500 0.431 0.834
0.500 0.931 0.666
```

## Properties
Final energy   -135.9 eV per cell
Crystal system   orthorhombic
DFT formation energy   -584 meV per atom
Space-group type   Pbam (55)

Crystalline ZrFePt2 at its relaxed geometry. Source: Alexandria via LeMat-Bulk, functional PBE-GGA.

```
ZrFePt2
1.0
4.518 0.000 0.000
2.259 3.913 0.000
2.259 1.304 3.689
Pt Fe Zr
2 1 1
direct
0.000 0.000 0.000
0.750 0.750 0.750
0.500 0.500 0.500
0.250 0.250 0.250
```

## Properties
Final energy   -31.0 eV per cell
Crystal system   cubic
DFT formation energy   -475 meV per atom
Space-group type   F-43m (216)

Crystalline Zr2FePt9 at its relaxed geometry. Source: Alexandria via LeMat-Bulk, functional PBE-GGA.

```
Zr2FePt9
1.0
4.016 0.000 0.000
0.000 4.016 0.000
0.000 0.000 12.000
Pt Fe Zr
9 1 2
direct
0.000 0.500 0.160
0.000 0.500 0.500
0.500 0.500 0.000
0.500 0.500 0.669
0.500 0.000 0.160
0.500 0.000 0.840
0.000 0.500 0.840
0.500 0.500 0.331
0.500 0.000 0.500
0.000 0.000 0.000
0.000 0.000 0.673
0.000 0.000 0.327
```

## Properties
Final energy   -89.1 eV per cell
Crystal system   tetragonal
DFT formation energy   -763 meV per atom
Space-group type   P4/mmm (123)